## Th8As4PSe3 (GGA-PBE)

Data for crystalline Th8As4PSe3 at its relaxed geometry.

```
data_Th8As4PSe3
_chemical_formula_sum 'Th24 As12 P3 Se9'
_symmetry_space_group_name_H-M 'R -3 m'
_symmetry_Int_Tables_number 166
_symmetry_space_group_name_Hall '-R 3 2"'
_cell_length_a 8.4583
_cell_length_b 8.4583
_cell_length_c 20.6091
_cell_angle_alpha 90.00
_cell_angle_beta 90.00
_cell_angle_gamma 120.00
loop_
_atom_site_label
_atom_site_type_symbol
_atom_site_fract_x
_atom_site_fract_y
_atom_site_fract_z
Th1 Th 0.0000 0.0000 0.2481
Th2 Th 0.0081 0.5041 0.7498
As1 As 0.0000 0.0000 0.5000
As2 As 0.0000 0.5000 0.5000
P1 P 0.0000 0.0000 0.0000
Se1 Se 0.0000 0.5000 0.0000
```

Output
electronic total energy	-7.36	eV per atom
M_tot	0.0	μB/cell
raw formation energy	-1.498	eV per atom
DOS(E_F)	22.25	states/eV/cell


## Th4AsP2Se (GGA-PBE)

Data for crystalline Th4AsP2Se at its relaxed geometry.

```
data_Th4AsP2Se
_chemical_formula_sum 'Th4 As1 P2 Se1'
_symmetry_space_group_name_H-M 'P 1 2/m 1'
_symmetry_Int_Tables_number 10
_cell_length_a 7.226
_cell_length_b 4.175
_cell_length_c 7.294
_cell_angle_alpha 90.00
_cell_angle_beta 109.32
_cell_angle_gamma 90.00
loop_
_symmetry_equiv_pos_as_xyz
'x,y,z'
'-x,-y,-z'
'-x,y,-z'
'x,-y,z'
loop_
_atom_site_label
_atom_site_type_symbol
_atom_site_fract_x
_atom_site_fract_y
_atom_site_fract_z
Th1 Th 0.240 0.000 0.232
Th2 Th 0.252 0.500 0.765
As1 As 0.000 0.000 0.500
P1 P 0.000 0.500 0.000
P2 P 0.500 0.000 0.000
Se1 Se 0.500 0.500 0.500
```

Output
electronic total energy	-7.62	eV per atom
M_tot	0.0	μB/cell
raw formation energy	-1.545	eV per atom
DOS(E_F)	4.88	states/eV/cell


## Th4AsPSe2 (GGA-PBE)

Data for crystalline Th4AsPSe2 at its relaxed geometry.

```
data_Th4AsPSe2
_chemical_formula_sum 'Th4 As1 P1 Se2'
_symmetry_space_group_name_H-M 'P 1 2/m 1'
_symmetry_Int_Tables_number 10
_cell_length_a 7.267
_cell_length_b 4.222
_cell_length_c 7.275
_cell_angle_alpha 90.00
_cell_angle_beta 109.62
_cell_angle_gamma 90.00
loop_
_symmetry_equiv_pos_as_xyz
'x,y,z'
'-x,-y,-z'
'-x,y,-z'
'x,-y,z'
loop_
_atom_site_label
_atom_site_type_symbol
_atom_site_fract_x
_atom_site_fract_y
_atom_site_fract_z
Th1 Th 0.238 0.000 0.234
Th2 Th 0.246 0.500 0.761
As1 As 0.500 0.000 0.000
P1 P 0.000 0.500 0.000
Se1 Se 0.000 0.000 0.500
Se2 Se 0.500 0.500 0.500
```

Output
electronic total energy	-7.38	eV per atom
M_tot	0.0	μB/cell
raw formation energy	-1.545	eV per atom
DOS(E_F)	5.22	states/eV/cell


## Th6As2P3Se (GGA-PBE)

Data for crystalline Th6As2P3Se at its relaxed geometry.

```
data_Th6As2P3Se
_chemical_formula_sum 'Th12 As4 P6 Se2'
_symmetry_space_group_name_H-M 'C 1 2/m 1'
_symmetry_Int_Tables_number 12
_cell_length_a 18.299
_cell_length_b 4.186
_cell_length_c 8.399
_cell_angle_alpha 90.00
_cell_angle_beta 103.80
_cell_angle_gamma 90.00
loop_
_symmetry_equiv_pos_as_xyz
'x,y,z'
'-x,-y,-z'
'-x,y,-z'
'x,-y,z'
'x+1/2,y+1/2,z'
'-x+1/2,-y+1/2,-z'
'-x+1/2,y+1/2,-z'
'x+1/2,-y+1/2,z'
loop_
_atom_site_label
_atom_site_type_symbol
_atom_site_fract_x
_atom_site_fract_y
_atom_site_fract_z
Th1 Th 0.003 0.000 0.237
Th2 Th 0.164 0.500 0.091
Th3 Th 0.172 0.500 0.577
As1 As 0.166 0.000 0.832
P1 P 0.000 0.500 0.000
P2 P 0.166 0.000 0.333
Se1 Se 0.000 0.500 0.500
```

Output
electronic total energy	-7.65	eV per atom
M_tot	0.0	μB/cell
raw formation energy	-1.521	eV per atom
DOS(E_F)	15.21	states/eV/cell


## Th6As2PSe3 (GGA-PBE)

Data for crystalline Th6As2PSe3 at its relaxed geometry.

```
data_Th6As2PSe3
_chemical_formula_sum 'Th12 As4 P2 Se6'
_symmetry_space_group_name_H-M 'C 1 2/m 1'
_symmetry_Int_Tables_number 12
_cell_length_a 18.364
_cell_length_b 4.230
_cell_length_c 8.393
_cell_angle_alpha 90.00
_cell_angle_beta 103.14
_cell_angle_gamma 90.00
loop_
_symmetry_equiv_pos_as_xyz
'x,y,z'
'-x,-y,-z'
'-x,y,-z'
'x,-y,z'
'x+1/2,y+1/2,z'
'-x+1/2,-y+1/2,-z'
'-x+1/2,y+1/2,-z'
'x+1/2,-y+1/2,z'
loop_
_atom_site_label
_atom_site_type_symbol
_atom_site_fract_x
_atom_site_fract_y
_atom_site_fract_z
Th1 Th 0.000 0.000 0.236
Th2 Th 0.161 0.500 0.084
Th3 Th 0.168 0.500 0.581
As1 As 0.166 0.000 0.333
P1 P 0.000 0.500 0.000
Se1 Se 0.000 0.500 0.500
Se2 Se 0.169 0.000 0.834
```

Output
electronic total energy	-7.33	eV per atom
M_tot	0.0	μB/cell
raw formation energy	-1.524	eV per atom
DOS(E_F)	17.36	states/eV/cell


## TiAs2PSe (GGA-PBE)

Data for crystalline TiAs2PSe at its relaxed geometry.

```
data_TiAs2PSe
_chemical_formula_sum 'Ti1 As2 P1 Se1'
_symmetry_space_group_name_H-M 'P 4/m m m'
_symmetry_Int_Tables_number 123
_symmetry_space_group_name_Hall '-P 4 2'
_cell_length_a 4.947
_cell_length_b 4.947
_cell_length_c 4.732
_cell_angle_alpha 90.00
_cell_angle_beta 90.00
_cell_angle_gamma 90.00
loop_
_atom_site_label
_atom_site_type_symbol
_atom_site_fract_x
_atom_site_fract_y
_atom_site_fract_z
Ti1 Ti 0.000 0.000 0.000
As1 As 0.000 0.500 0.000
P1 P 0.500 0.500 0.500
Se1 Se 0.000 0.000 0.500
```

Output
electronic total energy	-4.75	eV per atom
M_tot	0.5	μB/cell
raw formation energy	0.468	eV per atom
DOS(E_F)	4.81	states/eV/cell


## TiAs2PSe (GGA-PBE)

Data for crystalline TiAs2PSe at its relaxed geometry.

```
data_TiAs2PSe
_chemical_formula_sum 'Ti1 As2 P1 Se1'
_symmetry_space_group_name_H-M 'P 4/m m m'
_symmetry_Int_Tables_number 123
_symmetry_space_group_name_Hall '-P 4 2'
_cell_length_a 4.636
_cell_length_b 4.636
_cell_length_c 4.845
_cell_angle_alpha 90.00
_cell_angle_beta 90.00
_cell_angle_gamma 90.00
loop_
_atom_site_label
_atom_site_type_symbol
_atom_site_fract_x
_atom_site_fract_y
_atom_site_fract_z
Ti1 Ti 0.000 0.000 0.000
As1 As 0.000 0.500 0.500
P1 P 0.500 0.500 0.500
Se1 Se 0.500 0.500 0.000
```

Output
electronic total energy	-4.66	eV per atom
M_tot	0.0	μB/cell
raw formation energy	0.560	eV per atom
DOS(E_F)	4.63	states/eV/cell


## Tl2AsPSe4 (GGA-PBE)

Data for crystalline Tl2AsPSe4 at its relaxed geometry.

```
data_Tl2AsPSe4
_chemical_formula_sum 'Tl8 As4 P4 Se16'
_symmetry_space_group_name_H-M 'I m m a'
_symmetry_Int_Tables_number 74
_symmetry_space_group_name_Hall '-I 2b 2'
_cell_length_a 8.200
_cell_length_b 8.352
_cell_length_c 11.704
_cell_angle_alpha 90.00
_cell_angle_beta 90.00
_cell_angle_gamma 90.00
loop_
_atom_site_label
_atom_site_type_symbol
_atom_site_fract_x
_atom_site_fract_y
_atom_site_fract_z
Tl1 Tl 0.000 0.000 0.000
Tl2 Tl 0.250 0.250 0.250
As1 As 0.000 0.000 0.500
P1 P 0.250 0.250 0.750
Se1 Se 0.000 0.039 0.736
Se2 Se 0.222 0.250 0.520
```

Output
electronic total energy	-3.70	eV per atom
M_tot	0.0	μB/cell
raw formation energy	-0.107	eV per atom
DOS(E_F)	2.50	states/eV/cell


## TlAsP2Se8 (GGA-PBE)

Data for crystalline TlAsP2Se8 at its relaxed geometry.

```
data_TlAsP2Se8
_chemical_formula_sum 'Tl3 As3 P6 Se24'
_symmetry_space_group_name_H-M 'R -3'
_symmetry_Int_Tables_number 148
_symmetry_space_group_name_Hall '-R 3'
_cell_length_a 6.1689
_cell_length_b 6.1689
_cell_length_c 29.4571
_cell_angle_alpha 90.00
_cell_angle_beta 90.00
_cell_angle_gamma 120.00
loop_
_atom_site_label
_atom_site_type_symbol
_atom_site_fract_x
_atom_site_fract_y
_atom_site_fract_z
Tl1 Tl 0.0000 0.0000 0.0000
As1 As 0.0000 0.0000 0.5000
P1 P 0.0000 0.0000 0.2450
Se1 Se 0.0000 0.0000 0.3189
Se2 Se 0.0043 0.3040 0.1098
```

Output
electronic total energy	-3.78	eV per atom
M_tot	0.0	μB/cell
raw formation energy	0.026	eV per atom
DOS(E_F)	38.82	states/eV/cell


## Tm6AsP2Se3 (GGA-PBE)

Data for crystalline Tm6AsP2Se3 at its relaxed geometry.

```
data_Tm6AsP2Se3
_chemical_formula_sum 'Tm12 As2 P4 Se6'
_symmetry_space_group_name_H-M 'C 1 2/m 1'
_symmetry_Int_Tables_number 12
_cell_length_a 17.538
_cell_length_b 3.987
_cell_length_c 8.052
_cell_angle_alpha 90.00
_cell_angle_beta 104.04
_cell_angle_gamma 90.00
loop_
_symmetry_equiv_pos_as_xyz
'x,y,z'
'-x,-y,-z'
'-x,y,-z'
'x,-y,z'
'x+1/2,y+1/2,z'
'-x+1/2,-y+1/2,-z'
'-x+1/2,y+1/2,-z'
'x+1/2,-y+1/2,z'
loop_
_atom_site_label
_atom_site_type_symbol
_atom_site_fract_x
_atom_site_fract_y
_atom_site_fract_z
Tm1 Tm 0.007 0.000 0.247
Tm2 Tm 0.166 0.500 0.101
Tm3 Tm 0.173 0.500 0.571
As1 As 0.000 0.500 0.000
P1 P 0.167 0.000 0.334
Se1 Se 0.000 0.500 0.500
Se2 Se 0.165 0.000 0.834
```

Output
electronic total energy	-6.11	eV per atom
M_tot	0.0	μB/cell
raw formation energy	-1.711	eV per atom
DOS(E_F)	8.11	states/eV/cell